Computed, not measured: an optimized crystal structure of InMoHSeO7 at the PBE+U level of DFT.

Output
calculated volume = 623 Å³ per cell
calculated total energy = -0.21894 hartree per atom

```
InMoHSeO7
1.0
-4.0721 -1.0396 3.7944
3.1858 -9.2228 5.1168
3.4314 4.4795 9.1344
In Mo H Se O
4 4 4 4 28
direct
0.1170 0.8735 0.5971 In
0.5877 0.6265 0.9029 In
0.8830 0.1265 0.4029 In
0.4123 0.3735 0.0971 In
0.5381 0.9065 0.2951 Mo
0.7398 0.5935 0.2049 Mo
0.4619 0.0935 0.7049 Mo
0.2602 0.4065 0.7951 Mo
0.2477 0.7671 0.1730 H
0.1879 0.7329 0.3270 H
0.7523 0.2329 0.8270 H
0.8121 0.2671 0.6730 H
0.7294 0.6782 0.5640 Se
0.9716 0.8218 0.9360 Se
0.2706 0.3218 0.4360 Se
0.0284 0.1782 0.0640 Se
0.4986 0.7864 0.4951 O
0.7801 0.7136 0.0049 O
0.5014 0.2136 0.5049 O
0.2199 0.2864 0.9951 O
0.2151 0.9739 0.4008 O
0.5898 0.5261 0.0992 O
0.7849 0.0261 0.5992 O
0.4102 0.4739 0.9008 O
0.9870 0.7440 0.5072 O
0.2381 0.7560 0.9928 O
0.0130 0.2560 0.4928 O
0.7619 0.2440 0.0072 O
0.7836 0.7500 0.2500 O
0.2164 0.2500 0.7500 O
0.3205 0.7500 0.2500 O
0.6795 0.2500 0.7500 O
0.4926 0.9740 0.1459 O
0.6125 0.5260 0.3541 O
0.5074 0.0260 0.8541 O
0.3875 0.4740 0.6459 O
0.6049 0.7255 0.7179 O
0.0483 0.7745 0.7821 O
0.3951 0.2745 0.2821 O
0.9517 0.2255 0.2179 O
0.7403 0.9910 0.3276 O
0.0589 0.5090 0.1724 O
0.2597 0.0090 0.6724 O
0.9411 0.4910 0.8276 O
```